VASP calculation (PBE) on a relaxed BaNpIr crystal.

- energy above the most stable polymorph in this dataset (kcal/mol of atoms) = 18.36
- V (Å³ per atom) = 28.16
- E_tot (eV/atom) = -6.699
- SG = No. 216

```
BaNpIr
1.0
6.966 0.000 0.000
0.000 6.966 0.000
0.000 0.000 6.966
Ba Np Ir
4 4 4
Direct
0.000 0.000 0.000
0.000 0.500 0.500
0.500 0.000 0.500
0.500 0.500 0.000
0.250 0.250 0.250
0.250 0.750 0.750
0.750 0.250 0.750
0.750 0.750 0.250
0.250 0.250 0.750
0.250 0.750 0.250
0.750 0.250 0.250
0.750 0.750 0.750
```

VASP calculation (PBE) on a relaxed Ga2TcPb crystal.

- V (Å³ per atom) = 19.02
- E_tot (eV/atom) = -4.452
- SG = No. 216

```
Ga2TcPb
1.0
6.726 0.000 0.000
0.000 6.726 0.000
0.000 0.000 6.726
Ga Tc Pb
8 4 4
Direct
0.000 0.000 0.000
0.000 0.500 0.500
0.250 0.250 0.250
0.250 0.750 0.750
0.500 0.000 0.500
0.500 0.500 0.000
0.750 0.250 0.750
0.750 0.750 0.250
0.000 0.000 0.500
0.000 0.500 0.000
0.500 0.000 0.000
0.500 0.500 0.500
0.250 0.250 0.750
0.250 0.750 0.250
0.750 0.250 0.250
0.750 0.750 0.750
```

VASP calculation (PBE) on a relaxed NbNi2Te2Se crystal.

- V (Å³ per atom) = 22.05
- E_tot (eV/atom) = -5.603
- SG = No. 11

```
NbNi2Te2Se
1.0
7.500 0.000 0.000
0.000 3.575 0.000
-3.038 0.000 9.872
Nb Ni Te Se
2 4 4 2
Direct
0.222 0.250 0.194
0.778 0.750 0.806
0.051 0.250 0.933
0.403 0.750 0.410
0.597 0.250 0.590
0.949 0.750 0.067
0.046 0.750 0.328
0.408 0.750 0.663
0.592 0.250 0.337
0.954 0.250 0.672
0.269 0.750 0.011
0.731 0.250 0.989
```

Q: The lowest E_tot belongs to which entry?
A: BaNpIr

Q: Which of these has the lowest E_tot?
A: BaNpIr

Q: Look up the V of the third one.
A: 22.05 Å³ per atom